{"formula": "LiAgSCl2", "functional": "PBE-GGA", "state": "relaxed", "polymorph_energy_mev_per_atom": 0, "cell": [[5.1909, 0.0000, 0.0000], [0.0000, 5.1909, 0.0000], [0.0000, 0.0000, 4.8044]], "species": ["S", "Li", "Ag", "Cl", "Cl"], "frac_coords": [[0.0000, 0.0000, 0.5000], [0.5000, 0.5000, 0.5000], [0.0000, 0.0000, 0.0000], [0.0000, 0.5000, 0.0000], [0.5000, 0.0000, 0.0000]]}

{"formula": "LiAg2SbCl6", "functional": "PBE-GGA", "state": "relaxed", "cell": [[-1.4266, -5.5018, 3.9093], [0.6171, -6.3491, -2.6247], [5.4875, -4.1478, 2.2558]], "species": ["Li", "Ag", "Ag", "Sb", "Cl", "Cl", "Cl", "Cl", "Cl", "Cl"], "frac_coords": [[0.8192, 0.8198, 0.5416], [0.5594, 0.5593, 0.3217], [0.0253, 0.0256, 0.9234], [0.3229, 0.3230, 0.0310], [0.5900, 0.1950, 0.2841], [0.1954, 0.9308, 0.2843], [0.9309, 0.5894, 0.2846], [0.4322, 0.7037, 0.7815], [0.7034, 0.0829, 0.7813], [0.0829, 0.4323, 0.7816]]}

{"formula": "Li2AgSbCl6", "functional": "PBE-GGA", "state": "relaxed", "cell": [[-3.9911, -5.1988, 1.3741], [-0.5610, -5.0392, -4.3757], [3.1398, -6.2746, 1.6963]], "species": ["Li", "Li", "Ag", "Sb", "Cl", "Cl", "Cl", "Cl", "Cl", "Cl"], "frac_coords": [[0.5265, 0.5263, 0.4210], [0.0025, 0.0026, 0.9929], [0.8109, 0.8108, 0.5676], [0.3247, 0.3248, 0.0258], [0.6150, 0.2371, 0.2470], [0.2371, 0.9008, 0.2470], [0.9009, 0.6150, 0.2468], [0.3860, 0.7337, 0.7557], [0.7336, 0.1247, 0.7557], [0.1245, 0.3860, 0.7558]]}

{"formula": "LiAgSbCl6", "functional": "PBE-GGA", "state": "relaxed", "cell": [[6.5145, 0.0000, 0.0000], [-3.2573, 5.6418, 0.0000], [0.0000, 0.0000, 12.2064]], "species": ["Li", "Li", "Ag", "Ag", "Sb", "Sb", "Cl", "Cl", "Cl", "Cl", "Cl", "Cl", "Cl", "Cl", "Cl", "Cl", "Cl", "Cl"], "frac_coords": [[0.6667, 0.3333, 0.2500], [0.3333, 0.6667, 0.7500], [0.0000, 0.0000, 0.0000], [0.0000, 0.0000, 0.5000], [0.3333, 0.6667, 0.2500], [0.6667, 0.3333, 0.7500], [0.6512, 0.6564, 0.1300], [0.0052, 0.3488, 0.1300], [0.3488, 0.0052, 0.6300], [0.9948, 0.6512, 0.8700], [0.3436, 0.3488, 0.3700], [0.0052, 0.6564, 0.3700], [0.6564, 0.0052, 0.8700], [0.6512, 0.9948, 0.3700], [0.9948, 0.3436, 0.6300], [0.3436, 0.9948, 0.1300], [0.6564, 0.6512, 0.6300], [0.3488, 0.3436, 0.8700]]}

no.,calculated total energy (eV per atom)
1,-2.787
2,-3.139
3,-3.327
4,-3.107